A plane-wave DFT calculation with GGA-PBE was carried out for an optimized crystal structure of MgPtBr2.

The space group is I-42d (No. 122) and the conventional cell measures 4.9715, 4.9715 and 15.7337 Å, with angles of 90.00, 90.00 and 90.00 degrees. Symmetry generates all atoms from Mg at (0.0000, 0.0000, 0.0000), Pt at (0.0000, 0.0000, 0.5000) and Br at (0.2464, 0.2500, 0.6250).

As for the uncorrected formation energy: -217 meV/atom. The energy above the most stable polymorph in this dataset is 448 meV/atom. For the total magnetization, the calculation gives 0.0 μB/cell.